A plane-wave DFT calculation with PBE was carried out for crystalline NbCo2NiCl at its relaxed geometry.

Cell lengths 4.367, 4.367, 4.227 Å; angles 90.00, 90.00, 90.00 degrees
Fractional coordinates of all 5 atoms:
Nb1 0.000 0.000 0.000
Co1 0.000 0.500 0.500
Co2 0.500 0.000 0.500
Ni1 0.500 0.500 0.500
Cl1 0.500 0.500 0.000

DFT total energy: -5.225 eV per atom
DOS(E_F): 8.7 states/eV per cell